# 1
Here is crystalline BaAlSi4 at its relaxed geometry from the Alexandria database. Energies are from PBE.

Values from the calculation:
- Size of the total moment: 0.0000 μB per atom
- VASP energy: -4.336 eV/atom
- Formation energy (no corrections): 0.22 eV per atom

Cell: 5.543 5.543 5.543 Å, 60.00 60.00 60.00°
Positions (direct):
1 Ba 0.000 0.000 0.000
2 Al 0.250 0.250 0.250
3 Si 0.147 0.618 0.618
4 Si 0.618 0.147 0.618
5 Si 0.618 0.618 0.147
6 Si 0.618 0.618 0.618

=====

# 2
Here is crystalline ErInCoAg at its relaxed geometry from the Alexandria database. Energies are from PBE.

Values from the calculation:
- Size of the total moment: 0.2630 μB per atom
- VASP energy: -4.456 eV/atom
- Formation energy from the elements: -0.141 eV per atom

Cell: 4.758 4.758 4.758 Å, 60.00 60.00 60.00°
Positions (direct):
1 Er 0.000 0.000 0.000
2 In 0.500 0.500 0.500
3 Co 0.250 0.250 0.250
4 Ag 0.750 0.750 0.750

=====

# 3
Here is crystalline LiCu2NF at its relaxed geometry from the Alexandria database. Energies are from PBE.

Values from the calculation:
- Size of the total moment: 0.2862 μB per atom
- VASP energy: -3.364 eV/atom
- Formation energy (no corrections): 0.70 eV per atom

Cell: 3.849 3.849 5.107 Å, 90.00 90.00 90.00°
Positions (direct):
1 Li 0.000 0.000 0.000
2 Cu 0.000 0.500 0.500
3 Cu 0.500 0.000 0.500
4 N 0.500 0.500 0.000
5 F 0.500 0.500 0.500

=====

# 4
Here is crystalline ZrCoSe3 at its relaxed geometry from the Alexandria database. Energies are from PBE.

Values from the calculation:
- Size of the total moment: 0.5725 μB per atom
- Excess energy over the best structure of this formula in the dataset: 272.0 meV/atom
- VASP energy: -5.027 eV/atom
- Formation energy (no corrections): 0.19 eV per atom

Cell: 5.202 5.202 5.202 Å, 90.00 90.00 90.00°
Positions (direct):
1 Zr 0.000 0.000 0.000
2 Co 0.500 0.500 0.500
3 Se 0.000 0.000 0.500
4 Se 0.000 0.500 0.000
5 Se 0.500 0.000 0.000

=====

# 5
Here is crystalline Pa6SnGe at its relaxed geometry from the Alexandria database. Energies are from PBE.

Values from the calculation:
- Size of the total moment: 0.0000 μB per atom
- VASP energy: -8.444 eV/atom
- Formation energy from the elements: -0.244 eV per atom

Cell: 4.592 4.592 9.000 Å, 90.00 90.00 90.00°
Positions (direct):
1 Pa 0.000 0.000 0.000
2 Pa 0.000 0.000 0.500
3 Pa 0.000 0.500 0.238
4 Pa 0.000 0.500 0.762
5 Pa 0.500 0.000 0.238
6 Pa 0.500 0.000 0.762
7 Sn 0.500 0.500 0.500
8 Ge 0.500 0.500 0.000

=====

# 6
Here is crystalline Ba2ErCrN4 at its relaxed geometry from the Alexandria database. Energies are from PBE.

Values from the calculation:
- Size of the total moment: 0.0000 μB per atom
- VASP energy: -6.923 eV/atom
- Formation energy (no corrections): -0.51 eV per atom

Cell: 12.185 11.058 6.468 Å, 83.72 64.44 31.85°
Positions (direct):
1 Ba 0.059 0.059 0.691
2 Ba 0.309 0.309 0.941
3 Ba 0.691 0.691 0.059
4 Ba 0.941 0.941 0.309
5 Er 0.125 0.125 0.125
6 Er 0.875 0.875 0.875
7 Cr 0.375 0.375 0.375
8 Cr 0.625 0.625 0.625
9 N 0.045 0.622 0.522
10 N 0.312 0.522 0.622
11 N 0.378 0.955 0.688
12 N 0.478 0.688 0.955
13 N 0.522 0.312 0.045
14 N 0.622 0.045 0.312
15 N 0.688 0.478 0.378
16 N 0.955 0.378 0.478

=====

# 7
Here is crystalline TbTiZnIr at its relaxed geometry from the Alexandria database. Energies are from PBE.

Values from the calculation:
- Size of the total moment: 0.0001 μB per atom
- VASP energy: -6.060 eV/atom
- Formation energy from the elements: -0.395 eV per atom

Cell: 4.702 4.702 4.702 Å, 60.00 60.00 60.00°
Positions (direct):
1 Tb 0.000 0.000 0.000
2 Ti 0.500 0.500 0.500
3 Zn 0.750 0.750 0.750
4 Ir 0.250 0.250 0.250

=====

# 8
Here is crystalline PdBr2N at its relaxed geometry from the Alexandria database. Energies are from PBE.

Values from the calculation:
- Size of the total moment: 0.2086 μB per atom
- Excess energy over the best structure of this formula in the dataset: 145.1 meV/atom
- VASP energy: -2.853 eV/atom
- Formation energy (no corrections): 1.36 eV per atom

Cell: 8.022 8.022 8.022 Å, 25.19 25.19 25.19°
Positions (direct):
1 Pd 0.000 0.000 0.000
2 Br 0.103 0.103 0.103
3 Br 0.897 0.897 0.897
4 N 0.500 0.500 0.500